No. 1
Compound: PrY2Mg
Source: Alexandria via LeMat-Bulk
Functional: PBE-GGA
Structure: relaxed

```
4
Lattice="-1.929 2.816 5.766 1.929 -2.816 5.766 1.929 2.816 -5.766" Properties=species:S:1:pos:R:3 pbc="T T T"
Pr 0.000 0.000 0.000
Y 1.929 0.000 3.145
Y 0.000 2.816 2.622
Mg 0.000 0.000 5.766
```

Summary:
total magnetic moment = 0.0 μB per formula unit
polymorph energy (0 for the lowest one) = 0.0105 eV/atom
formation energy = -0.03 eV per atom
density of states at the Fermi level = 5.500 states/eV/cell
E_tot = -4.86 eV/atom

***

No. 2
Compound: Pr3Y3Mg2
Source: Alexandria via LeMat-Bulk
Functional: PBE-GGA
Structure: relaxed

```
16
Lattice="2.712 -5.962 0.000 2.712 5.962 0.000 0.000 0.000 15.837" Properties=species:S:1:pos:R:3 pbc="T T T"
Pr 2.712 5.531 9.575
Pr 2.712 5.531 14.181
Pr 2.712 3.007 11.878
Pr 2.712 -3.007 3.959
Pr 2.712 -5.531 1.657
Pr 2.712 -5.531 6.262
Y 2.712 1.734 8.456
Y 2.712 1.734 15.300
Y 2.712 0.274 3.959
Y 2.712 -0.274 11.878
Y 2.712 -1.734 0.538
Y 2.712 -1.734 7.381
Mg 2.712 3.200 2.289
Mg 2.712 3.200 5.629
Mg 2.712 -3.200 10.208
Mg 2.712 -3.200 13.548
```

Summary:
total magnetic moment = 0.0 μB per formula unit
formation energy = 0.04 eV per atom
density of states at the Fermi level = 18.914 states/eV/cell
E_tot = -4.57 eV/atom

***

No. 3
Compound: Pr2YMg4
Source: Alexandria via LeMat-Bulk
Functional: PBE-GGA
Structure: relaxed

```
7
Lattice="-2.738 2.738 7.364 2.738 -2.738 7.364 2.738 2.738 -7.364" Properties=species:S:1:pos:R:3 pbc="T T T"
Pr 0.000 0.000 3.616
Pr 0.000 0.000 11.112
Y 0.000 0.000 7.364
Mg 2.738 0.000 1.660
Mg 2.738 0.000 5.704
Mg 0.000 2.738 1.660
Mg 0.000 2.738 5.704
```

Summary:
total magnetic moment = 0.0 μB per formula unit
polymorph energy (0 for the lowest one) = 0.0000 eV/atom
formation energy = 0.11 eV per atom
density of states at the Fermi level = 5.880 states/eV/cell
E_tot = -3.09 eV/atom

***

No. 4
Compound: Pr4Y7Mg
Source: Alexandria via LeMat-Bulk
Functional: PBE-GGA
Structure: relaxed

```
12
Lattice="8.438 -2.958 0.000 8.438 2.958 0.000 -5.574 0.000 8.188" Properties=species:S:1:pos:R:3 pbc="T T T"
Pr -1.097 0.000 3.569
Pr 2.955 0.000 2.494
Pr 8.347 0.000 5.694
Pr 12.399 0.000 4.619
Y 0.000 0.000 0.000
Y -1.574 0.000 7.215
Y 1.637 0.000 5.477
Y 6.189 0.000 2.134
Y 5.113 0.000 6.054
Y 9.665 0.000 2.712
Y 12.877 0.000 0.973
Mg 8.438 0.000 0.000
```

Summary:
total magnetic moment = 0.0 μB per formula unit
polymorph energy (0 for the lowest one) = 0.1137 eV/atom
formation energy = 0.20 eV per atom
density of states at the Fermi level = 18.519 states/eV/cell
E_tot = -5.29 eV/atom

***

No. 5
Compound: Pr3YMg4
Source: Alexandria via LeMat-Bulk
Functional: PBE-GGA
Structure: relaxed

```
8
Lattice="3.880 0.000 0.000 0.000 3.880 0.000 0.000 0.000 15.590" Properties=species:S:1:pos:R:3 pbc="T T T"
Pr 0.000 0.000 0.000
Pr 0.000 0.000 3.970
Pr 0.000 0.000 11.620
Y 0.000 0.000 7.795
Mg 1.940 1.940 1.980
Mg 1.940 1.940 5.960
Mg 1.940 1.940 9.629
Mg 1.940 1.940 13.610
```

Summary:
total magnetic moment = 0.0 μB per formula unit
formation energy = -0.11 eV per atom
density of states at the Fermi level = 9.699 states/eV/cell
E_tot = -3.51 eV/atom

***

No. 6
Compound: Pr2YMg9
Source: Alexandria via LeMat-Bulk
Functional: PBE-GGA
Structure: relaxed

```
12
Lattice="3.045 1.758 9.866 -3.045 1.758 9.866 0.000 -3.516 9.866" Properties=species:S:1:pos:R:3 pbc="T T T"
Pr 0.000 0.000 4.184
Pr 0.000 0.000 25.413
Y 0.000 0.000 0.000
Mg -1.536 -0.887 12.307
Mg 0.000 0.000 9.882
Mg 0.000 -1.773 17.290
Mg -1.536 0.887 17.290
Mg 0.000 0.000 14.799
Mg 1.536 -0.887 12.307
Mg 0.000 1.773 12.307
Mg 0.000 0.000 19.716
Mg 1.536 0.887 17.290
```

Summary:
total magnetic moment = 0.0 μB per formula unit
formation energy = -0.06 eV per atom
density of states at the Fermi level = 11.262 states/eV/cell
E_tot = -2.59 eV/atom

***

No. 7
Compound: Pr7YMg2
Source: Alexandria via LeMat-Bulk
Functional: PBE-GGA
Structure: relaxed

```
10
Lattice="4.476 -8.433 0.000 4.476 8.433 0.000 0.000 0.000 5.407" Properties=species:S:1:pos:R:3 pbc="T T T"
Pr 0.000 0.000 0.000
Pr 2.827 1.938 0.000
Pr 4.476 3.602 2.704
Pr 2.827 -1.938 0.000
Pr 6.126 1.938 0.000
Pr 4.476 -3.602 2.704
Pr 6.126 -1.938 0.000
Y 4.476 0.000 2.704
Mg 4.476 5.032 0.000
Mg 4.476 -5.032 0.000
```

Summary:
total magnetic moment = 0.0 μB per formula unit
formation energy = 0.50 eV per atom
density of states at the Fermi level = 14.931 states/eV/cell
E_tot = -3.81 eV/atom

***

No. 8
Compound: Pr3YMg3
Source: Alexandria via LeMat-Bulk
Functional: PBE-GGA
Structure: relaxed

```
14
Lattice="3.727 -5.444 0.000 3.727 5.444 0.000 -0.119 0.000 10.813" Properties=species:S:1:pos:R:3 pbc="T T T"
Pr 3.727 3.547 0.000
Pr 3.668 2.992 5.406
Pr 3.611 0.000 1.877
Pr 3.724 0.000 8.936
Pr 3.668 -2.992 5.406
Pr 3.727 -3.547 0.000
Y 2.054 0.000 5.449
Y 5.281 0.000 5.364
Mg -0.031 0.000 2.821
Mg 7.366 0.000 7.991
Mg 1.797 2.682 8.088
Mg 1.797 -2.682 8.088
Mg 5.538 2.682 2.725
Mg 5.538 -2.682 2.725
```

Summary:
total magnetic moment = 0.8 μB per formula unit
formation energy = 0.07 eV per atom
density of states at the Fermi level = 18.276 states/eV/cell
E_tot = -3.59 eV/atom

***

No. 9
Compound: Pr8Y3Mg
Source: Alexandria via LeMat-Bulk
Functional: PBE-GGA
Structure: relaxed

```
12
Lattice="-4.394 4.394 5.816 4.394 -4.394 5.816 4.394 4.394 -5.816" Properties=species:S:1:pos:R:3 pbc="T T T"
Pr 3.279 3.279 -2.921
Pr 2.209 -2.209 5.777
Pr 2.185 2.185 0.039
Pr 1.115 1.115 2.895
Pr 1.115 -1.115 8.737
Pr -2.209 2.209 5.777
Pr 2.209 2.209 5.855
Pr -1.115 1.115 8.737
Y 4.394 0.000 2.908
Y 0.000 0.000 5.816
Y 0.000 4.394 2.908
Mg 0.000 0.000 0.000
```

Summary:
total magnetic moment = 0.0 μB per formula unit
formation energy = 0.52 eV per atom
density of states at the Fermi level = 18.533 states/eV/cell
E_tot = -4.42 eV/atom

***

No. 10
Compound: Pr4Y5Mg2
Source: Alexandria via LeMat-Bulk
Functional: PBE-GGA
Structure: relaxed

```
22
Lattice="9.076 0.000 0.000 0.000 21.443 0.000 0.000 0.000 3.659" Properties=species:S:1:pos:R:3 pbc="T T T"
Pr 0.615 3.151 0.000
Pr 1.960 9.099 0.000
Pr 2.578 19.821 0.000
Pr 3.923 13.873 0.000
Pr 5.153 7.570 0.000
Pr 6.498 1.623 0.000
Pr 7.116 12.344 0.000
Pr 8.461 18.292 0.000
Y 0.000 0.000 1.829
Y 1.180 12.133 1.829
Y 2.268 5.991 1.829
Y 2.270 16.713 1.829
Y 3.358 1.411 1.829
Y 4.538 10.722 1.829
Y 5.718 20.032 1.829
Y 6.806 4.730 1.829
Y 6.808 15.452 1.829
Y 7.896 9.310 1.829
Mg 0.392 14.797 0.000
Mg 4.146 4.076 0.000
Mg 4.930 17.368 0.000
Mg 8.684 6.646 0.000
```

Summary:
total magnetic moment = 0.0 μB per formula unit
formation energy = 0.01 eV per atom
density of states at the Fermi level = 30.108 states/eV/cell
E_tot = -4.96 eV/atom

***

No. 11
Compound: Pr8Y2Mg
Source: Alexandria via LeMat-Bulk
Functional: PBE-GGA
Structure: relaxed

```
11
Lattice="-2.860 3.893 8.708 2.860 -3.893 8.708 2.860 3.893 -8.708" Properties=species:S:1:pos:R:3 pbc="T T T"
Pr 2.860 2.198 -2.334
Pr 0.000 0.000 3.058
Pr 0.000 2.077 0.000
Pr 2.860 2.198 2.334
Pr 0.000 1.695 6.375
Pr 0.000 5.709 0.000
Pr 0.000 0.000 14.359
Pr 0.000 1.695 11.042
Y 2.860 0.000 5.315
Y 0.000 3.893 3.394
Mg 2.860 0.000 0.000
```

Summary:
total magnetic moment = 0.0 μB per formula unit
polymorph energy (0 for the lowest one) = 0.0000 eV/atom
formation energy = 0.09 eV per atom
density of states at the Fermi level = 19.500 states/eV/cell
E_tot = -4.70 eV/atom

***

No. 12
Compound: PrYMg
Source: Alexandria via LeMat-Bulk
Functional: PBE-GGA
Structure: relaxed

```
12
Lattice="6.784 0.000 0.000 0.000 5.440 0.000 0.000 0.000 10.103" Properties=species:S:1:pos:R:3 pbc="T T T"
Pr 0.216 1.360 2.126
Pr 3.176 4.080 7.177
Pr 3.608 1.360 2.926
Pr 6.567 4.080 7.977
Y 1.200 1.360 5.733
Y 2.192 4.080 0.681
Y 4.592 1.360 9.422
Y 5.584 4.080 4.370
Mg 1.334 1.360 9.063
Mg 2.058 4.080 4.012
Mg 4.726 1.360 6.091
Mg 5.450 4.080 1.039
```

Summary:
total magnetic moment = 0.0 μB per formula unit
polymorph energy (0 for the lowest one) = 0.0391 eV/atom
formation energy = -0.02 eV per atom
density of states at the Fermi level = 16.183 states/eV/cell
E_tot = -4.30 eV/atom